Compound: Li2HgIr
Source: Alexandria
Functional: PBE
Structure: optimized geometry

Its space group is I4/mmm. The calculation puts the formation energy at -0.095 eV/atom.

```
Li2HgIr
1.0
-1.987 1.987 3.821
1.987 -1.987 3.821
1.987 1.987 -3.821
Li Hg Ir
2 1 1
Direct
0.250 0.750 0.500
0.750 0.250 0.500
0.000 0.000 0.000
0.500 0.500 0.000
```

Compound: LiHg2Ir
Source: Alexandria
Functional: PBE
Structure: optimized geometry

Its space group is I-4m2. The calculation puts the formation energy at 0.109 eV/atom.

```
LiHg2Ir
1.0
-2.017 2.017 4.297
2.017 -2.017 4.297
2.017 2.017 -4.297
Li Hg Ir
1 2 1
Direct
0.000 0.000 0.000
0.250 0.750 0.500
0.500 0.500 0.000
0.750 0.250 0.500
```

Compound: LiHg2Ir
Source: Alexandria
Functional: PBE
Structure: optimized geometry

Its space group is Cmm2. The calculation puts the formation energy at 0.212 eV/atom.

```
LiHg2Ir
1.0
1.554 -2.427 0.000
1.554 2.427 0.000
0.000 0.000 9.738
Li Hg Ir
1 2 1
Direct
0.000 0.000 0.000
0.000 0.000 0.546
0.500 0.500 0.242
0.500 0.500 0.796
```

Compound: Li2HgIr
Source: Alexandria
Functional: PBE
Structure: optimized geometry

Its space group is Immm. The calculation puts the formation energy at -0.098 eV/atom.

```
Li2HgIr
1.0
-1.618 2.250 4.256
1.618 -2.250 4.256
1.618 2.250 -4.256
Li Hg Ir
2 1 1
Direct
0.241 0.241 0.000
0.759 0.759 0.000
0.500 0.000 0.500
0.000 0.500 0.500
```

Compound: LiHg2Ir
Source: Alexandria
Functional: PBE
Structure: optimized geometry

Its space group is R3m. The calculation puts the formation energy at 0.190 eV/atom.

```
LiHg2Ir
1.0
1.461 0.844 9.926
-1.461 0.844 9.926
0.000 -1.687 9.926
Li Hg Ir
1 2 1
Direct
0.000 0.000 0.000
0.253 0.253 0.253
0.484 0.484 0.484
0.734 0.734 0.734
```

Compound: Li2HgIr
Source: Alexandria
Functional: PBE
Structure: optimized geometry

Its space group is P4/mmm. The calculation puts the formation energy at -0.071 eV/atom.

```
Li2HgIr
1.0
3.240 0.000 0.000
0.000 3.240 0.000
0.000 0.000 5.657
Li Hg Ir
2 1 1
Direct
0.000 0.000 0.216
0.000 0.000 0.784
0.500 0.500 0.500
0.500 0.500 0.000
```

Compound: LiHg2Ir
Source: Alexandria
Functional: PBE
Structure: optimized geometry

Its space group is Imm2. The calculation puts the formation energy at 0.106 eV/atom.

```
LiHg2Ir
1.0
-1.587 2.303 4.884
1.587 -2.303 4.884
1.587 2.303 -4.884
Li Hg Ir
1 2 1
Direct
0.000 0.000 0.000
0.467 0.467 0.000
0.732 0.232 0.500
0.224 0.724 0.500
```

Compound: Li2HgIr
Source: Alexandria
Functional: PBE
Structure: optimized geometry

Its space group is I-4m2. The calculation puts the formation energy at -0.040 eV/atom.

```
Li2HgIr
1.0
-2.013 2.013 3.857
2.013 -2.013 3.857
2.013 2.013 -3.857
Li Hg Ir
2 1 1
Direct
0.000 0.000 0.000
0.750 0.250 0.500
0.250 0.750 0.500
0.500 0.500 0.000
```

Compound: LiHg2Ir2
Source: Alexandria
Functional: PBE
Structure: optimized geometry

Its space group is P4/mbm. The calculation puts the formation energy at 0.337 eV/atom.

```
LiHg2Ir2
1.0
7.960 0.000 0.000
0.000 7.960 0.000
0.000 0.000 2.995
Li Hg Ir
2 4 4
Direct
0.000 0.000 0.000
0.500 0.500 0.000
0.185 0.315 0.500
0.315 0.815 0.500
0.685 0.185 0.500
0.815 0.685 0.500
0.113 0.613 0.000
0.387 0.113 0.000
0.613 0.887 0.000
0.887 0.387 0.000
```

Compound: LiHg2Ir
Source: Alexandria
Functional: PBE
Structure: optimized geometry

Its space group is R-3m. The calculation puts the formation energy at 0.185 eV/atom.

```
LiHg2Ir
1.0
1.489 0.860 9.312
-1.489 0.860 9.312
0.000 -1.720 9.312
Li Hg Ir
1 2 1
Direct
0.000 0.000 0.000
0.252 0.252 0.252
0.748 0.748 0.748
0.500 0.500 0.500
```

Compound: Li2HgIr
Source: Alexandria
Functional: PBE
Structure: optimized geometry

Its space group is P2/m. The calculation puts the formation energy at -0.090 eV/atom.

```
Li2HgIr
1.0
2.735 0.000 0.000
0.000 4.052 0.000
-0.004 0.000 5.619
Li Hg Ir
2 1 1
Direct
0.004 0.000 0.282
0.996 0.000 0.718
0.500 0.500 0.000
0.500 0.500 0.500
```

Compound: LiHg4Ir
Source: Alexandria
Functional: PBE
Structure: optimized geometry

Its space group is F-43m. The calculation puts the formation energy at 0.491 eV/atom.

```
LiHg4Ir
1.0
0.000 4.006 4.006
4.006 0.000 4.006
4.006 4.006 0.000
Li Hg Ir
1 4 1
Direct
0.000 0.000 0.000
0.126 0.625 0.625
0.625 0.126 0.625
0.625 0.625 0.126
0.625 0.625 0.625
0.250 0.250 0.250
```

Compound: Li2HgIr
Source: Alexandria
Functional: PBE
Structure: optimized geometry

Its space group is P4mm. The calculation puts the formation energy at 0.029 eV/atom.

```
Li2HgIr
1.0
3.148 0.000 0.000
0.000 3.148 0.000
0.000 0.000 6.205
Li Hg Ir
2 1 1
Direct
0.000 0.000 0.000
0.500 0.500 0.235
0.000 0.000 0.505
0.500 0.500 0.798
```

Compound: Li2Hg2Ir
Source: Alexandria
Functional: PBE
Structure: optimized geometry

Its space group is P4/mbm. The calculation puts the formation energy at 0.057 eV/atom.

```
Li2Hg2Ir
1.0
7.260 0.000 0.000
0.000 7.260 0.000
0.000 0.000 3.264
Li Hg Ir
4 4 2
Direct
0.161 0.339 0.000
0.339 0.839 0.000
0.661 0.161 0.000
0.839 0.661 0.000
0.145 0.645 0.500
0.355 0.145 0.500
0.645 0.855 0.500
0.855 0.355 0.500
0.000 0.000 0.500
0.500 0.500 0.500
```

Compound: LiHgIr4
Source: Alexandria
Functional: PBE
Structure: optimized geometry

Its space group is F-43m. The calculation puts the formation energy at 0.315 eV/atom.

```
LiHgIr4
1.0
0.000 3.700 3.700
3.700 0.000 3.700
3.700 3.700 0.000
Li Hg Ir
1 1 4
Direct
0.000 0.000 0.000
0.750 0.750 0.750
0.375 0.375 0.375
0.375 0.375 0.876
0.375 0.876 0.375
0.876 0.375 0.375
```

Compound: LiHg2Ir
Source: Alexandria
Functional: PBE
Structure: optimized geometry

Its space group is Cmmm. The calculation puts the formation energy at 0.211 eV/atom.

```
LiHg2Ir
1.0
1.556 -2.469 0.000
1.556 2.469 0.000
0.000 0.000 9.324
Li Hg Ir
1 2 1
Direct
0.000 0.000 0.000
0.500 0.500 0.242
0.500 0.500 0.758
0.000 0.000 0.500
```

Compound: Li2HgIr
Source: Alexandria
Functional: PBE
Structure: optimized geometry

Its space group is R3m. The calculation puts the formation energy at 0.078 eV/atom.

```
Li2HgIr
1.0
1.431 0.826 9.500
-1.431 0.826 9.500
0.000 -1.652 9.500
Li Hg Ir
2 1 1
Direct
0.000 0.000 0.000
0.241 0.241 0.241
0.746 0.746 0.746
0.502 0.502 0.502
```

Compound: Li2Hg2Ir
Source: Alexandria
Functional: PBE
Structure: optimized geometry

Its space group is P4/mbm. The calculation puts the formation energy at 0.066 eV/atom.

```
Li2Hg2Ir
1.0
7.019 0.000 0.000
0.000 7.019 0.000
0.000 0.000 3.211
Li Hg Ir
4 4 2
Direct
0.135 0.365 0.000
0.365 0.865 0.000
0.635 0.135 0.000
0.865 0.635 0.000
0.166 0.666 0.500
0.334 0.166 0.500
0.666 0.834 0.500
0.834 0.334 0.500
0.000 0.000 0.000
0.500 0.500 0.000
```

Compound: LiHg2Ir
Source: Alexandria
Functional: PBE
Structure: optimized geometry

Its space group is I-42d. The calculation puts the formation energy at 0.400 eV/atom.

```
LiHg2Ir
1.0
-2.091 2.091 9.271
2.091 -2.091 9.271
2.091 2.091 -9.271
Li Hg Ir
2 4 2
Direct
0.000 0.000 0.000
0.750 0.250 0.500
0.131 0.625 0.006
0.375 0.381 0.506
0.619 0.125 0.994
0.875 0.869 0.494
0.250 0.750 0.500
0.500 0.500 0.000
```

Compound: Li2HgIr
Source: Alexandria
Functional: PBE
Structure: optimized geometry

Its space group is Cmm2. The calculation puts the formation energy at 0.113 eV/atom.

```
Li2HgIr
1.0
1.521 -2.355 0.000
1.521 2.355 0.000
0.000 0.000 9.483
Li Hg Ir
2 1 1
Direct
0.000 0.000 0.000
0.500 0.500 0.279
0.500 0.500 0.758
0.000 0.000 0.494
```

Compound: LiHg2Ir
Source: Alexandria
Functional: PBE
Structure: optimized geometry

Its space group is C2/m. The calculation puts the formation energy at 0.163 eV/atom.

```
LiHg2Ir
1.0
4.543 -1.491 0.000
4.543 1.491 0.000
-0.837 0.000 5.376
Li Hg Ir
1 2 1
Direct
0.000 0.000 0.000
0.245 0.245 0.750
0.755 0.755 0.250
0.500 0.500 0.500
```

Compound: Li2HgIr
Source: Alexandria
Functional: PBE
Structure: optimized geometry

Its space group is Cmmm. The calculation puts the formation energy at -0.093 eV/atom.

```
Li2HgIr
1.0
2.830 -3.869 0.000
2.830 3.869 0.000
0.000 0.000 2.776
Li Hg Ir
2 1 1
Direct
0.000 0.500 0.000
0.500 0.000 0.000
0.000 0.000 0.500
0.500 0.500 0.500
```

Compound: LiHg2Ir
Source: Alexandria
Functional: PBE
Structure: optimized geometry

Its space group is Pmm2. The calculation puts the formation energy at 0.123 eV/atom.

```
LiHg2Ir
1.0
3.064 0.000 0.000
0.000 4.210 0.000
0.000 0.000 5.637
Li Hg Ir
1 2 1
Direct
0.000 0.000 0.000
0.000 0.000 0.549
0.500 0.500 0.228
0.500 0.500 0.744
```

Compound: Li2HgIr
Source: Alexandria
Functional: PBE
Structure: optimized geometry

Its space group is Pm. The calculation puts the formation energy at -0.056 eV/atom.

```
Li2HgIr
1.0
2.670 0.000 0.000
0.000 4.421 0.000
-1.324 0.000 5.246
Li Hg Ir
2 1 1
Direct
0.000 0.000 0.000
0.123 0.500 0.267
0.739 0.000 0.494
0.398 0.500 0.805
```

Compound: LiHg2Ir
Source: Alexandria
Functional: PBE
Structure: optimized geometry

Its space group is Cmmm. The calculation puts the formation energy at 0.026 eV/atom.

```
LiHg2Ir
1.0
3.283 -3.303 0.000
3.283 3.303 0.000
0.000 0.000 3.215
Li Hg Ir
1 2 1
Direct
0.000 0.000 0.000
0.000 0.500 0.500
0.500 0.000 0.500
0.500 0.500 0.000
```

Compound: Li2HgIr
Source: Alexandria
Functional: PBE
Structure: optimized geometry

Its space group is Imm2. The calculation puts the formation energy at -0.049 eV/atom.

```
Li2HgIr
1.0
-1.659 2.118 4.272
1.659 -2.118 4.272
1.659 2.118 -4.272
Li Hg Ir
2 1 1
Direct
0.000 0.000 0.000
0.760 0.260 0.500
0.248 0.748 0.500
0.515 0.515 0.000
```

Compound: Li2HgIr
Source: Alexandria
Functional: PBE
Structure: optimized geometry

Its space group is R-3m. The calculation puts the formation energy at -0.099 eV/atom.

```
Li2HgIr
1.0
1.420 0.820 9.199
-1.420 0.820 9.199
0.000 -1.640 9.199
Li Hg Ir
2 1 1
Direct
0.241 0.241 0.241
0.759 0.759 0.759
0.000 0.000 0.000
0.500 0.500 0.500
```

Compound: LiHg2Ir
Source: Alexandria
Functional: PBE
Structure: optimized geometry

Its space group is Cm. The calculation puts the formation energy at 0.080 eV/atom.

```
LiHg2Ir
1.0
5.140 -1.556 0.000
5.140 1.556 0.000
-1.451 0.000 4.481
Li Hg Ir
1 2 1
Direct
0.000 0.000 0.000
0.233 0.233 0.831
0.466 0.466 0.450
0.722 0.722 0.327
```

Compound: LiMgHgIr
Source: Alexandria
Functional: PBE
Structure: optimized geometry

Its space group is F-43m. The calculation puts the formation energy at -0.190 eV/atom.

```
LiMgHgIr
1.0
0.000 3.229 3.229
3.229 0.000 3.229
3.229 3.229 0.000
Li Mg Hg Ir
1 1 1 1
Direct
0.000 0.000 0.000
0.750 0.750 0.750
0.250 0.250 0.250
0.500 0.500 0.500
```

| no. | total magnetization (μB/f.u.) |
| --- | --- |
| 1 | 0.000 |
| 2 | 0.000 |
| 3 | 0.000 |
| 4 | 0.000 |
| 5 | 0.476 |
| 6 | 0.000 |
| 7 | 0.000 |
| 8 | 0.000 |
| 9 | 0.000 |
| 10 | 0.425 |
| 11 | 0.000 |
| 12 | 0.000 |
| 13 | 0.000 |
| 14 | 0.000 |
| 15 | 0.003 |
| 16 | 0.000 |
| 17 | 0.122 |
| 18 | 0.000 |
| 19 | 0.000 |
| 20 | 0.000 |
| 21 | 0.234 |
| 22 | 0.000 |
| 23 | 0.000 |
| 24 | 0.000 |
| 25 | 0.000 |
| 26 | 0.000 |
| 27 | 0.109 |
| 28 | 0.000 |
| 29 | 0.000 |